Crystalline BaMnAlCuO5 at its relaxed geometry. Source: the Alexandria database, functional PBE+U.

a = 3.7103 Å, b = 3.7103 Å, c = 8.1887 Å
α = 90.00°, β = 90.00°, γ = 90.00°
Closest atoms and distances in Å follow each position.
Space group P4mm (No. 99)
Unique sites:
Ba1 0.0000 0.0000 0.0000 (multiplicity 1)  4 O 2.71
Mn1 0.5000 0.5000 0.6720 (multiplicity 1)  5 O 1.96-2.02
Al1 0.0000 0.0000 0.4538 (multiplicity 1)  8 O 2.19-2.26
Cu1 0.5000 0.5000 0.2609 (multiplicity 1)  4 O 1.88
O1 0.0000 0.5000 0.2958 (multiplicity 2)  2 Cu 1.88
O2 0.0000 0.5000 0.5949 (multiplicity 2)  2 Mn 1.96, 2 Al 2.19
O3 0.5000 0.5000 0.9193 (multiplicity 1)  1 Mn 2.02

Calculated values
E_tot in eV/atom: -6.361
Magnetic moment in μB per cell: 4.176